Entry 1:
The following is a PBE calculation of an optimized crystal structure of BaLiLa2Ru, from the Alexandria database.

Cell: 5.403 5.403 5.922 Å, 90.00 90.00 90.00°
Atoms (fractional coordinates):
La: 0.000 0.500 0.000
La: 0.500 0.000 0.000
Li: 0.000 0.000 0.500
Ru: 0.000 0.000 0.000
Ba: 0.500 0.500 0.500

The calculation puts the calculated formation energy at -26 meV per atom. Its uncorrected energy is -0.3395 Ry per atom. The value obtained for the relative energy among the computed polymorphs is 0 meV/atom.

=====

Entry 2:
The following is a PBE calculation of an optimized crystal structure of BaLiLa2Ru, from the Alexandria database.

Cell: 5.453 5.453 6.381 Å, 90.00 90.00 90.00°
Atoms (fractional coordinates):
Ru: 0.000 0.000 0.000
La: 0.500 0.000 0.000
La: 0.000 0.500 0.000
Li: 0.500 0.500 0.500
Ba: 0.000 0.000 0.500

The calculation puts the calculated formation energy at -10 meV per atom. Its uncorrected energy is -0.3383 Ry per atom. The value obtained for the relative energy among the computed polymorphs is 17 meV/atom.

=====

Entry 3:
The following is a PBE calculation of an optimized crystal structure of Ba3LiLa2S6, from the Alexandria database.

Cell: 7.460 7.460 7.560 Å, 99.41 99.41 120.04°
Atoms (fractional coordinates):
La: 0.333 0.667 0.000
La: 0.667 0.333 0.000
Ba: 0.164 0.836 0.500
Ba: 0.500 0.500 0.500
Ba: 0.836 0.164 0.500
S: 0.925 0.587 0.776
S: 0.587 0.925 0.776
S: 0.263 0.263 0.780
S: 0.413 0.075 0.224
S: 0.737 0.737 0.220
S: 0.075 0.413 0.224
Li: 0.000 0.000 0.000

Its uncorrected energy is -0.4038 Ry per atom. For the energy relative to the elements, uncorrected, the calculation gives -1.969 eV per atom.

=====

Entry 4:
The following is a PBE calculation of an optimized crystal structure of BaLi2LaS, from the Alexandria database.

Cell: 4.733 7.120 4.733 Å, 90.00 90.00 90.00°
Atoms (fractional coordinates):
S: 0.500 0.500 0.500
Ba: 0.000 0.000 0.000
La: 0.000 0.500 0.000
Li: 0.500 0.000 0.000
Li: 0.000 0.000 0.500

Its uncorrected energy is -0.1562 Ry per atom. For the energy relative to the elements, uncorrected, the calculation gives 0.835 eV per atom.

=====

Entry 5:
The following is a PBE calculation of an optimized crystal structure of Ba4LiLa3S8, from the Alexandria database.

Cell: 8.604 8.713 8.604 Å, 119.59 120.00 90.00°
Atoms (fractional coordinates):
S: 0.262 0.278 0.020
S: 0.738 0.722 0.980
S: 0.741 0.724 0.483
S: 0.758 0.278 0.516
S: 0.242 0.722 0.980
S: 0.259 0.276 0.517
S: 0.758 0.278 0.020
S: 0.242 0.722 0.484
Li: 0.000 0.500 0.000
La: 0.000 0.500 0.500
La: 0.500 0.500 0.500
La: 0.500 0.500 0.000
Ba: 0.000 0.000 0.000
Ba: 0.500 0.000 0.500
Ba: 0.000 0.000 0.500
Ba: 0.500 0.000 0.000

Its uncorrected energy is -0.4107 Ry per atom. For the energy relative to the elements, uncorrected, the calculation gives -2.000 eV per atom.

=====

Entry 6:
The following is a PBE calculation of an optimized crystal structure of BaLi2LaSb2, from the Alexandria database.

Cell: 4.826 4.826 8.624 Å, 90.00 90.00 120.00°
Atoms (fractional coordinates):
Ba: 0.000 0.000 0.000
Sb: 0.333 0.667 0.275
Sb: 0.667 0.333 0.725
Li: 0.333 0.667 0.716
Li: 0.667 0.333 0.284
La: 0.000 0.000 0.500

Its uncorrected energy is -0.2993 Ry per atom. For the energy relative to the elements, uncorrected, the calculation gives -0.918 eV per atom.

=====

Entry 7:
The following is a PBE calculation of an optimized crystal structure of BaLi2La2Sb2, from the Alexandria database.

Cell: 4.916 4.916 10.494 Å, 76.45 76.45 60.00°
Atoms (fractional coordinates):
Li: 0.418 0.418 0.747
Li: 0.582 0.582 0.253
Sb: 0.745 0.745 0.765
Sb: 0.255 0.255 0.235
La: 0.135 0.135 0.595
La: 0.865 0.865 0.405
Ba: 0.000 0.000 0.000

Its uncorrected energy is -0.2997 Ry per atom. For the energy relative to the elements, uncorrected, the calculation gives -0.671 eV per atom.

=====

Entry 8:
The following is a PBE calculation of an optimized crystal structure of BaLiLaSc2, from the Alexandria database.

Cell: 5.509 6.298 5.509 Å, 90.00 90.00 90.00°
Atoms (fractional coordinates):
Sc: 0.500 0.000 0.000
Sc: 0.000 0.000 0.500
Ba: 0.000 0.500 0.000
Li: 0.500 0.500 0.500
La: 0.000 0.000 0.000

The calculation puts the calculated formation energy at 801 meV per atom. Its uncorrected energy is -0.2561 Ry per atom.